No. 1
First-principles (GGA-PBE) data for a relaxed structure of LiZr2Bi2, as listed in the Alexandria database.

Summary:
- Relative energy among the computed polymorphs: 122 meV per atom
- E_tot: -54.959 eV per cell
- Calculated density: 7.90 g cm⁻³

Unit cell a=8.1826 b=8.1826 c=3.8136 alpha=90.00 beta=90.00 gamma=90.00
Last column: nearest neighbours and their distance in Å.
Fractional positions:
Bi (0.1628, 0.6628, 0.5000)  6 Zr 3.03-3.09
Bi (0.6628, 0.8372, 0.5000)  6 Zr 3.03-3.09
Bi (0.8372, 0.3372, 0.5000)  6 Zr 3.03-3.09
Bi (0.3372, 0.1628, 0.5000)  6 Zr 3.03-3.09
Zr (0.3667, 0.8667, 0.0000)  6 Bi 3.03-3.09, 1 Zr 3.09, 2 Li 3.19
Zr (0.8667, 0.6333, 0.0000)  6 Bi 3.03-3.09, 1 Zr 3.09, 2 Li 3.19
Zr (0.6333, 0.1333, 0.0000)  6 Bi 3.03-3.09, 1 Zr 3.09, 2 Li 3.19
Zr (0.1333, 0.3667, 0.0000)  6 Bi 3.03-3.09, 1 Zr 3.09, 2 Li 3.19
Li (0.0000, 0.0000, 0.0000)  4 Zr 3.19
Li (0.5000, 0.5000, 0.0000)  4 Zr 3.19

***

No. 2
First-principles (GGA-PBE) data for a relaxed structure of TiSi3Ni, as listed in the Alexandria database.

Summary:
- E_tot: -27.582 eV per cell
- Calculated density: 3.80 g cm⁻³
- Energy relative to the elements, uncorrected: 0.473 eV/atom

Unit cell a=4.3702 b=4.3702 c=4.3702 alpha=90.00 beta=90.00 gamma=90.00
Last column: nearest neighbours and their distance in Å.
Fractional positions:
Ni (0.0000, 0.0000, 0.0000)  6 Si 2.19
Si (0.0000, 0.5000, 0.0000)  2 Ni 2.19
Si (0.0000, 0.0000, 0.5000)  2 Ni 2.19
Si (0.5000, 0.0000, 0.0000)  2 Ni 2.19
Ti (0.5000, 0.5000, 0.5000)  12 Si 3.09